Record 1
The following is a DFT calculation (PBE) of crystalline Pr3DyHo2Te2Pd at its relaxed geometry.

Geometry as POSCAR:
```
Pr3DyHo2Te2Pd
1.0
4.077 0.000 0.000
0.000 7.392 4.269
0.000 -7.392 4.269
Dy Ho Pd Pr Te
1 2 1 3 2
Direct
0.000 0.241 0.241
0.000 0.759 0.000
0.000 0.000 0.759
0.500 0.000 0.000
0.500 0.000 0.407
0.500 0.593 0.593
0.500 0.407 0.000
0.000 0.667 0.333
0.000 0.333 0.667
```

Volume, Å³/f.u.: 257
Energy, eV per atom: -5.26
Space-group type: Amm2 (38)

=====

Record 2
The following is a DFT calculation (PBE) of crystalline Dy2HoSn3PdPt2 at its relaxed geometry.

Geometry as POSCAR:
```
Dy2HoSn3PdPt2
1.0
-1.519 -1.585 -3.342
1.365 -6.913 2.658
-6.599 3.341 1.416
Dy Ho Pd Pt Sn
2 1 1 2 3
Direct
0.000 0.408 0.000
0.000 0.000 0.408
0.000 0.592 0.592
0.000 0.000 0.000
0.500 0.667 0.333
0.500 0.333 0.667
0.500 0.742 0.000
0.500 0.258 0.258
0.500 0.000 0.742
```

Volume, Å³/f.u.: 196
Energy, eV per atom: -5.84
Space-group type: Amm2 (38)

=====

Record 3
The following is a DFT calculation (PBE) of crystalline DyHo2Si4Pd4 at its relaxed geometry.

Geometry as POSCAR:
```
DyHo2Si4Pd4
1.0
-2.057 3.480 6.828
2.057 -3.480 6.828
2.057 3.480 -6.828
Dy Ho Pd Si
1 2 4 4
Direct
0.000 0.000 0.000
0.625 0.125 0.500
0.375 0.875 0.500
0.973 0.675 0.299
0.624 0.325 0.299
0.027 0.325 0.701
0.376 0.675 0.701
0.219 0.219 0.000
0.781 0.781 0.000
0.682 0.500 0.182
0.318 0.500 0.818
```

Volume, Å³/f.u.: 196
Energy, eV per atom: -6.06
Space-group type: Immm (71)

=====

Record 4
The following is a DFT calculation (PBE) of crystalline DyHoSi4Pd2 at its relaxed geometry.

Geometry as POSCAR:
```
DyHoSi4Pd2
1.0
-0.524 3.974 0.831
-1.950 -2.025 8.451
2.051 -1.515 8.534
Dy Ho Pd Si
1 1 2 4
Direct
0.000 0.401 0.401
0.500 0.599 0.599
0.000 0.172 0.172
0.500 0.828 0.828
0.000 0.035 0.035
0.500 0.249 0.249
0.000 0.751 0.751
0.500 0.966 0.966
```

Volume, Å³/f.u.: 143
Energy, eV per atom: -5.96
Space-group type: Amm2 (38)

=====

Record 5
The following is a DFT calculation (PBE) of crystalline DyHo2Sn3Pd3 at its relaxed geometry.

Geometry as POSCAR:
```
DyHo2Sn3Pd3
1.0
-3.437 1.558 -0.915
-3.235 -6.895 0.408
0.355 4.426 6.202
Dy Ho Pd Sn
1 2 3 3
Direct
0.000 0.597 0.597
0.000 0.402 0.000
0.000 0.000 0.402
0.000 0.001 0.001
0.500 0.667 0.333
0.500 0.333 0.667
0.500 0.737 0.000
0.500 0.263 0.263
0.500 0.000 0.737
```

Volume, Å³/f.u.: 196
Energy, eV per atom: -5.52
Space-group type: Amm2 (38)

=====

Record 6
The following is a DFT calculation (PBE) of crystalline DyHo2Sn4Pd4 at its relaxed geometry.

Geometry as POSCAR:
```
DyHo2Sn4Pd4
1.0
8.141 -0.178 2.444
2.181 -4.507 6.871
-3.149 0.350 -7.889
Dy Ho Pd Sn
1 2 4 4
Direct
0.000 0.000 0.000
0.629 0.129 0.500
0.371 0.871 0.500
0.621 0.323 0.298
0.975 0.677 0.298
0.025 0.323 0.702
0.379 0.677 0.702
0.214 0.214 0.000
0.786 0.786 0.000
0.698 0.500 0.198
0.302 0.500 0.802
```

Volume, Å³/f.u.: 238
Energy, eV per atom: -5.40
Space-group type: Immm (71)

=====

> Look up the energy of the fourth one.

-5.96 eV per atom

=====

> Look up the energy of the fourth one.

-5.96 eV per atom

=====

> What is the formula in the second record?

Dy2HoSn3PdPt2